Entry from Alexandria: P2HAuO after structural relaxation (PBE).

Values from the calculation:
**Relative energy among the computed polymorphs**: 0 kJ/mol of formula units

```
P2HAuO
1.0
3.599 0.000 0.000
0.000 3.599 0.000
0.000 0.000 4.524
P H Au O
2 1 1 1
Direct
0.000 0.500 0.000
0.500 0.000 0.000
0.000 0.000 0.000
0.500 0.500 0.500
0.000 0.000 0.500
```